# 1
## NbAg2Br (PBE)

Data for a relaxed NbAg2Br crystal.

Its calculated density is 7.42 g cm⁻³. For the total energy, the calculation gives -0.1375 Ha/atom. The calculation puts the formation energy from raw total energies at 0.6186 eV per atom. The density of states at the Fermi level comes out at 4.029 states/eV/f.u. The calculation puts the total magnetic moment at 0.49 μB/atom.

The structure belongs to space group I-42d (No. 122); the cell edges are 8.0367, 8.0367 and 5.3824 Å and the angles 90.00°, 90.00° and 90.00°. The distinct sites, in fractional coordinates, are Nb at (0.0000, 0.0000, 0.0000), Ag at (0.2462, 0.2500, 0.1250) and Br at (0.0000, 0.0000, 0.5000).


# 2
## CaBeCdAu6 (PBE)

Data for a relaxed CaBeCdAu6 crystal.

Its calculated density is 12.62 g cm⁻³. The value obtained for the formation energy is -0.23 eV/atom. For the total energy, the calculation gives -0.1159 Ha/atom. The density of states at the Fermi level comes out at 2.308 states/eV/f.u. The calculation puts the total magnetic moment at 0.00 μB/atom.

The structure belongs to space group Imma (No. 74); the cell edges are 6.9948, 9.1577 and 11.0409 Å and the angles 90.00°, 90.00° and 90.00°. The distinct sites, in fractional coordinates, are Ca at (0.0000, 0.2500, 0.2232), Be at (0.0000, 0.0000, 0.0000), Cd at (0.2500, 0.2500, 0.7500), Au at (0.0000, 0.2500, 0.5115), Au at (0.0000, 0.2500, 0.9513) and Au at (0.2158, 0.0183, 0.3760).


# 3
## BaPm2Np3N8 (PBE)

Data for a relaxed BaPm2Np3N8 crystal.

Its calculated density is 8.46 g cm⁻³. For the total energy, the calculation gives -0.3482 Ha/atom. The calculation puts the formation energy from raw total energies at -1.1276 eV per atom. The density of states at the Fermi level comes out at 10.936 states/eV/f.u. The calculation puts the total magnetic moment at 0.36 μB/atom.

The structure belongs to space group R3m (No. 160, hexagonal axes); the cell edges are 6.9891, 6.9891 and 17.4102 Å and the angles 90.00°, 90.00° and 120.00°. The distinct sites, in fractional coordinates, are Ba at (0.0000, 0.0000, 0.0000), Pm at (0.0000, 0.0000, 0.2404), Pm at (0.0000, 0.0000, 0.6228), Np at (0.1682, 0.3365, 0.4559), N at (0.0000, 0.0000, 0.3901), N at (0.0000, 0.0000, 0.8463), N at (0.0603, 0.5302, 0.3919) and N at (0.1845, 0.3690, 0.1912).


# 4
## Hf3MgZn (PBE)

Data for a relaxed Hf3MgZn crystal.

Its calculated density is 8.51 g cm⁻³. The value obtained for the formation energy is 0.63 eV/atom. For the total energy, the calculation gives -0.2174 Ha/atom. The density of states at the Fermi level comes out at 2.443 states/eV/f.u. The calculation puts the total magnetic moment at 0.00 μB/atom.

The structure belongs to space group Pm-3m (No. 221); the cell edges are 4.9588, 4.9588 and 4.9588 Å and the angles 90.00°, 90.00° and 90.00°. The distinct sites, in fractional coordinates, are Hf at (0.0000, 0.0000, 0.5000), Mg at (0.5000, 0.5000, 0.5000) and Zn at (0.0000, 0.0000, 0.0000).


- Which of these has the highest total magnetic moment?
  NbAg2Br


- What is the formula in the second record?
  CaBeCdAu6